No. 1
A geometry-optimized ScZnMoO4 structure, computed with GGA+U.

The calculation puts the total energy at -7.177 eV/atom.

The space group is Imma (No. 74) and the conventional cell measures 6.275, 6.328 and 8.820 Å, with angles of 90.00, 90.00 and 90.00 degrees. The inequivalent atoms are Sc at (0.250, 0.250, 0.250), Zn at (0.000, 0.250, 0.628), Mo at (0.000, 0.000, 0.000), O at (0.000, 0.021, 0.246) and O at (0.237, 0.250, 0.008).

***

No. 2
A geometry-optimized ZrScMoO2 structure, computed with GGA+U.

The calculation puts the total energy at -6.491 eV/atom.

The space group is P4/mmm (No. 123) and the conventional cell measures 3.984, 3.984 and 5.437 Å, with angles of 90.00, 90.00 and 90.00 degrees. The inequivalent atoms are Zr at (0.000, 0.000, 0.000), Sc at (0.500, 0.500, 0.000), Mo at (0.500, 0.500, 0.500) and O at (0.000, 0.500, 0.500).

***

No. 3
A geometry-optimized ZrSc2MoO8 structure, computed with GGA+U.

The calculation puts the total energy at -8.461 eV/atom.

The space group is Cmmm (No. 65) and the conventional cell measures 6.767, 6.932 and 6.366 Å, with angles of 90.00, 90.00 and 90.00 degrees. The inequivalent atoms are Zr at (0.000, 0.000, 0.000), Sc at (0.000, 0.500, 0.248), Mo at (0.000, 0.000, 0.500), O at (0.000, 0.189, 0.270), O at (0.195, 0.500, 0.000) and O at (0.213, 0.500, 0.500).

***

No. 4
A geometry-optimized MoSe2O structure, computed with GGA+U.

The calculation puts the total energy at -3.676 eV/atom.

The space group is R-3m (No. 166, hexagonal axes) and the conventional cell measures 2.9396, 2.9396 and 25.5939 Å, with angles of 90.00, 90.00 and 120.00 degrees. The inequivalent atoms are Mo at (0.0000, 0.0000, 0.0000), Se at (0.0000, 0.0000, 0.1002) and O at (0.0000, 0.0000, 0.5000).

***

No. 5
A geometry-optimized MoSe3O structure, computed with GGA+U.

The calculation puts the energy above the most stable polymorph in this dataset at 219 kJ/mol of formula units.

The space group is Pm-3m (No. 221) and the conventional cell measures 4.879, 4.879 and 4.879 Å, with angles of 90.00, 90.00 and 90.00 degrees. The inequivalent atoms are Mo at (0.000, 0.000, 0.000), Se at (0.000, 0.000, 0.500) and O at (0.500, 0.500, 0.500).

***

No. 6
A geometry-optimized MoSeO3 structure, computed with GGA+U.

The calculation puts the total energy at -5.150 eV/atom.

The space group is Pm-3m (No. 221) and the conventional cell measures 3.948, 3.948 and 3.948 Å, with angles of 90.00, 90.00 and 90.00 degrees. The inequivalent atoms are Mo at (0.000, 0.000, 0.000), Se at (0.500, 0.500, 0.500) and O at (0.000, 0.500, 0.500).

***

| no. | total magnetization (μB per cell) | density (g cm⁻³) |
| --- | --- | --- |
| 1 | 12.00 | 5.13 |
| 2 | 0.00 | 5.08 |
| 3 | 0.00 | 4.50 |
| 4 | 0.00 | 7.02 |
| 5 | 0.00 | 4.99 |
| 6 | 4.01 | 6.01 |